# K3Er3SbO8

A relaxed structure of K3Er3SbO8 (PBE, Alexandria via LeMat-Bulk).

extended XYZ file:
```
15
Lattice="3.410 1.969 6.328 -3.410 1.969 6.328 0.000 -3.938 6.328" Properties=species:S:1:pos:R:3 pbc="T T T"
K -1.705 -0.984 6.328
K -1.705 0.984 12.655
K 0.000 1.969 6.328
Er -3.410 0.000 9.491
Er -1.705 0.984 3.164
Er 1.705 0.984 3.164
Sb 0.000 0.000 9.491
O 0.000 0.000 4.290
O -1.623 -0.937 10.599
O 0.000 -1.874 8.384
O -1.623 0.937 8.384
O 1.623 -0.937 10.599
O 0.000 1.874 10.599
O 1.623 0.937 8.384
O 0.000 0.000 14.693
```

Symmetry: R-3m, No. 166
Total DFT energy (no corrections): -6.562 eV/atom
Raw formation energy: -2511 meV per atom

---

# Ba2UGeTe5

A relaxed structure of Ba2UGeTe5 (PBE, Alexandria via LeMat-Bulk).

extended XYZ file:
```
18
Lattice="2.365 -10.003 0.000 2.365 10.003 0.000 0.000 0.000 14.222" Properties=species:S:1:pos:R:3 pbc="T T T"
Ba 2.365 7.823 7.111
Ba 2.365 7.429 1.851
Ba 2.365 -7.429 8.962
Ba 2.365 -7.823 0.000
U 2.365 5.856 11.921
U 2.365 -5.856 4.810
Ge 2.365 0.986 3.755
Ge 2.365 -0.986 10.866
Te 2.365 8.864 12.495
Te 2.365 4.297 6.826
Te 2.365 3.641 2.747
Te 2.365 2.821 11.627
Te 2.365 0.114 8.255
Te 2.365 -0.114 1.144
Te 2.365 -2.821 4.516
Te 2.365 -3.641 9.858
Te 2.365 -4.297 13.937
Te 2.365 -8.864 5.384
```

Symmetry: Cmc2_1, No. 36
Total DFT energy (no corrections): -4.923 eV/atom
Raw formation energy: -983 meV per atom

---

# Ho6Pd2Ru

A relaxed structure of Ho6Pd2Ru (PBE, Alexandria via LeMat-Bulk).

extended XYZ file:
```
18
Lattice="6.471 0.000 0.000 0.000 7.379 0.000 -6.352 0.000 9.847" Properties=species:S:1:pos:R:3 pbc="T T T"
Ho -0.931 0.280 2.438
Ho -4.107 3.410 7.361
Ho 1.014 5.008 0.672
Ho -2.162 6.061 5.596
Ho 2.134 1.308 0.632
Ho -1.042 2.382 5.555
Ho 1.161 4.997 4.292
Ho -2.015 6.071 9.216
Ho 2.280 1.318 4.252
Ho -0.896 2.371 9.175
Ho 4.225 3.969 2.486
Ho 1.049 7.100 7.410
Pd -2.765 0.868 7.410
Pd 0.411 2.821 2.487
Pd -0.293 4.558 7.361
Pd 2.883 6.511 2.437
Ru 0.059 0.000 4.924
Ru 3.235 3.690 0.000
```

Symmetry: P2_1/c, No. 14
Total DFT energy (no corrections): -5.746 eV/atom
Energy of formation: -0.51 eV per atom